[1]
First-principles (GGA-PBE) data for AcCeIr4 after structural relaxation, as listed in the Alexandria database.

Lattice parameters (Å, degrees): 5.482 5.482 5.482 60.00 60.00 60.00
Fractional coordinates of all 6 atoms:
Ac 0.000 0.000 0.000
Ce 0.750 0.750 0.750
Ir 0.375 0.375 0.375
Ir 0.375 0.375 0.874
Ir 0.375 0.874 0.375
Ir 0.874 0.375 0.375

Crystal system: cubic
M_tot in Bohr magnetons per cell: 0.3
ρ in g/cm3: 16.2
ΔE_f in meV per atom: -648

***

[2]
First-principles (GGA-PBE) data for AcCeIr2 after structural relaxation, as listed in the Alexandria database.

Lattice parameters (Å, degrees): 8.566 5.975 7.613 90.00 90.41 90.00
Fractional coordinates of all 16 atoms:
Ac 0.128 0.148 0.322
Ac 0.128 0.352 0.822
Ac 0.872 0.648 0.178
Ac 0.872 0.852 0.678
Ce 0.380 0.655 0.177
Ce 0.380 0.845 0.677
Ce 0.620 0.155 0.323
Ce 0.620 0.345 0.823
Ir 0.151 0.654 0.450
Ir 0.151 0.846 0.950
Ir 0.395 0.171 0.058
Ir 0.395 0.329 0.558
Ir 0.605 0.671 0.442
Ir 0.605 0.829 0.942
Ir 0.849 0.154 0.050
Ir 0.849 0.346 0.550

Crystal system: monoclinic
Offset from the most stable computed form in meV per atom: 0
M_tot in Bohr magnetons per cell: 0.0
ρ in g/cm3: 12.8
ΔE_f in meV per atom: -676

***

[3]
First-principles (GGA-PBE) data for AcCe2Ir after structural relaxation, as listed in the Alexandria database.

Lattice parameters (Å, degrees): 3.690 3.690 8.388 90.00 90.00 90.00
Fractional coordinates of all 4 atoms:
Ac 0.000 0.000 0.000
Ce 0.500 0.500 0.323
Ce 0.500 0.500 0.677
Ir 0.000 0.000 0.500

Crystal system: tetragonal
Offset from the most stable computed form in meV per atom: 45
M_tot in Bohr magnetons per cell: 1.1
ρ in g/cm3: 10.2
ΔE_f in meV per atom: -279

***

[4]
First-principles (GGA-PBE) data for AcCeIr after structural relaxation, as listed in the Alexandria database.

Lattice parameters (Å, degrees): 6.888 7.241 10.020 90.00 126.41 90.00
Fractional coordinates of all 12 atoms:
Ac 0.152 0.084 0.388
Ac 0.152 0.416 0.888
Ac 0.848 0.584 0.112
Ac 0.848 0.916 0.612
Ce 0.378 0.584 0.615
Ce 0.378 0.916 0.115
Ce 0.622 0.084 0.885
Ce 0.622 0.416 0.385
Ir 0.363 0.733 0.352
Ir 0.363 0.767 0.852
Ir 0.637 0.233 0.148
Ir 0.637 0.267 0.648

Crystal system: monoclinic
Offset from the most stable computed form in meV per atom: 10
M_tot in Bohr magnetons per cell: 3.7
ρ in g/cm3: 9.2
ΔE_f in meV per atom: -499

***

[5]
First-principles (GGA-PBE) data for AcCeIr2 after structural relaxation, as listed in the Alexandria database.

Lattice parameters (Å, degrees): 7.104 7.104 7.104 34.56 34.56 34.56
Fractional coordinates of all 4 atoms:
Ac 0.000 0.000 0.000
Ce 0.500 0.500 0.500
Ir 0.238 0.238 0.238
Ir 0.762 0.762 0.762

Crystal system: trigonal
Offset from the most stable computed form in meV per atom: 80
M_tot in Bohr magnetons per cell: 0.0
ρ in g/cm3: 12.1
ΔE_f in meV per atom: -595

***

[6]
First-principles (GGA-PBE) data for AcCeIr after structural relaxation, as listed in the Alexandria database.

Lattice parameters (Å, degrees): 5.057 5.057 5.057 60.00 60.00 60.00
Fractional coordinates of all 3 atoms:
Ac 0.000 0.000 0.000
Ce 0.500 0.500 0.500
Ir 0.250 0.250 0.250

Crystal system: cubic
Offset from the most stable computed form in meV per atom: 117
M_tot in Bohr magnetons per cell: 1.3
ρ in g/cm3: 10.2
ΔE_f in meV per atom: -392

***

[7]
First-principles (GGA-PBE) data for Ac2Ce3Ir2 after structural relaxation, as listed in the Alexandria database.

Lattice parameters (Å, degrees): 6.407 6.407 9.181 111.35 111.35 35.92
Fractional coordinates of all 7 atoms:
Ac 0.162 0.162 0.295
Ac 0.838 0.838 0.705
Ce 0.377 0.377 0.067
Ce 0.500 0.500 0.500
Ce 0.623 0.623 0.933
Ir 0.128 0.128 0.725
Ir 0.872 0.872 0.275

Crystal system: monoclinic
M_tot in Bohr magnetons per cell: 1.3
ρ in g/cm3: 10.2
ΔE_f in meV per atom: -466

***

[8]
First-principles (GGA-PBE) data for AcCe2Ir after structural relaxation, as listed in the Alexandria database.

Lattice parameters (Å, degrees): 9.511 9.511 9.511 24.58 24.58 24.58
Fractional coordinates of all 4 atoms:
Ac 0.000 0.000 0.000
Ce 0.555 0.555 0.555
Ce 0.776 0.776 0.776
Ir 0.165 0.165 0.165

Crystal system: trigonal
Offset from the most stable computed form in meV per atom: 0
M_tot in Bohr magnetons per cell: 1.2
ρ in g/cm3: 8.9
ΔE_f in meV per atom: -325

***

[9]
First-principles (GGA-PBE) data for AcCeIr after structural relaxation, as listed in the Alexandria database.

Lattice parameters (Å, degrees): 4.242 4.242 6.561 90.00 90.00 120.00
Fractional coordinates of all 3 atoms:
Ac 0.000 0.000 0.000
Ce 0.667 0.333 0.529
Ir 0.333 0.667 0.736

Crystal system: trigonal
Offset from the most stable computed form in meV per atom: 29
M_tot in Bohr magnetons per cell: 1.1
ρ in g/cm3: 9.1
ΔE_f in meV per atom: -480

***

[10]
First-principles (GGA-PBE) data for Ac2CeIr after structural relaxation, as listed in the Alexandria database.

Lattice parameters (Å, degrees): 11.286 11.286 11.286 21.08 21.08 21.08
Fractional coordinates of all 4 atoms:
Ac 0.115 0.115 0.115
Ac 0.885 0.885 0.885
Ce 0.000 0.000 0.000
Ir 0.500 0.500 0.500

Crystal system: trigonal
M_tot in Bohr magnetons per cell: 2.2
ρ in g/cm3: 8.0
ΔE_f in meV per atom: -18

***

[11]
First-principles (GGA-PBE) data for Ac12CeIr7 after structural relaxation, as listed in the Alexandria database.

Lattice parameters (Å, degrees): 9.579 9.579 9.579 107.29 107.29 107.29
Fractional coordinates of all 20 atoms:
Ac 0.053 0.343 0.130
Ac 0.130 0.053 0.343
Ac 0.185 0.717 0.573
Ac 0.283 0.427 0.815
Ac 0.343 0.130 0.053
Ac 0.427 0.815 0.283
Ac 0.573 0.185 0.717
Ac 0.657 0.870 0.947
Ac 0.717 0.573 0.185
Ac 0.815 0.283 0.427
Ac 0.870 0.947 0.657
Ac 0.947 0.657 0.870
Ce 0.500 0.500 0.500
Ir 0.000 0.000 0.000
Ir 0.161 0.386 0.473
Ir 0.386 0.473 0.161
Ir 0.473 0.161 0.386
Ir 0.527 0.839 0.614
Ir 0.614 0.527 0.839
Ir 0.839 0.614 0.527

Crystal system: trigonal
M_tot in Bohr magnetons per cell: 0.0
ρ in g/cm3: 9.6
ΔE_f in meV per atom: -577

***

[12]
First-principles (GGA-PBE) data for AcCeIr2 after structural relaxation, as listed in the Alexandria database.

Lattice parameters (Å, degrees): 3.582 3.582 7.300 90.00 90.00 90.00
Fractional coordinates of all 4 atoms:
Ac 0.000 0.000 0.000
Ce 0.000 0.000 0.500
Ir 0.500 0.500 0.290
Ir 0.500 0.500 0.710

Crystal system: tetragonal
Offset from the most stable computed form in meV per atom: 92
M_tot in Bohr magnetons per cell: 0.0
ρ in g/cm3: 13.3
ΔE_f in meV per atom: -584

***

[13]
First-principles (GGA-PBE) data for AcCeIr after structural relaxation, as listed in the Alexandria database.

Lattice parameters (Å, degrees): 6.679 6.679 6.679 147.88 147.88 46.07
Fractional coordinates of all 3 atoms:
Ac 0.000 0.000 0.000
Ce 0.727 0.727 0.000
Ir 0.329 0.329 0.000

Crystal system: tetragonal
Offset from the most stable computed form in meV per atom: 145
M_tot in Bohr magnetons per cell: 0.4
ρ in g/cm3: 11.1
ΔE_f in meV per atom: -364

***

[14]
First-principles (GGA-PBE) data for AcCeIr2 after structural relaxation, as listed in the Alexandria database.

Lattice parameters (Å, degrees): 7.595 7.595 7.595 31.11 31.11 31.11
Fractional coordinates of all 4 atoms:
Ac 0.000 0.000 0.000
Ce 0.172 0.172 0.172
Ir 0.578 0.578 0.578
Ir 0.762 0.762 0.762

Crystal system: trigonal
Offset from the most stable computed form in meV per atom: 189
M_tot in Bohr magnetons per cell: 0.0
ρ in g/cm3: 12.0
ΔE_f in meV per atom: -486

***

[15]
First-principles (GGA-PBE) data for AcCe2Ir after structural relaxation, as listed in the Alexandria database.

Lattice parameters (Å, degrees): 10.685 10.685 10.685 21.31 21.31 21.31
Fractional coordinates of all 4 atoms:
Ac 0.000 0.000 0.000
Ce 0.115 0.115 0.115
Ce 0.885 0.885 0.885
Ir 0.500 0.500 0.500

Crystal system: trigonal
Offset from the most stable computed form in meV per atom: 170
M_tot in Bohr magnetons per cell: 2.2
ρ in g/cm3: 8.2
ΔE_f in meV per atom: -155

***

[16]
First-principles (GGA-PBE) data for Ac3CeIr3 after structural relaxation, as listed in the Alexandria database.

Lattice parameters (Å, degrees): 10.370 10.370 10.370 109.47 109.47 109.47
Fractional coordinates of all 28 atoms:
Ac 0.007 0.014 0.757
Ac 0.007 0.493 0.250
Ac 0.014 0.757 0.007
Ac 0.250 0.007 0.493
Ac 0.250 0.743 0.757
Ac 0.486 0.493 0.743
Ac 0.493 0.250 0.007
Ac 0.493 0.743 0.486
Ac 0.743 0.486 0.493
Ac 0.743 0.757 0.250
Ac 0.757 0.007 0.014
Ac 0.757 0.250 0.743
Ce 0.000 0.250 0.500
Ce 0.250 0.250 0.250
Ce 0.250 0.500 0.000
Ce 0.500 0.000 0.250
Ir 0.006 0.012 0.256
Ir 0.006 0.494 0.750
Ir 0.012 0.256 0.006
Ir 0.244 0.256 0.750
Ir 0.244 0.488 0.494
Ir 0.256 0.006 0.012
Ir 0.256 0.750 0.244
Ir 0.488 0.494 0.244
Ir 0.494 0.244 0.488
Ir 0.494 0.750 0.006
Ir 0.750 0.006 0.494
Ir 0.750 0.244 0.256

Crystal system: cubic
M_tot in Bohr magnetons per cell: 0.0
ρ in g/cm3: 10.8
ΔE_f in meV per atom: -609

***

[17]
First-principles (GGA-PBE) data for AcCe3Ir2 after structural relaxation, as listed in the Alexandria database.

Lattice parameters (Å, degrees): 9.078 9.078 8.462 114.97 114.97 29.86
Fractional coordinates of all 12 atoms:
Ac 0.159 0.159 0.053
Ac 0.841 0.841 0.947
Ce 0.041 0.041 0.349
Ce 0.306 0.306 0.574
Ce 0.400 0.400 0.358
Ce 0.600 0.600 0.642
Ce 0.694 0.694 0.426
Ce 0.959 0.959 0.651
Ir 0.198 0.198 0.731
Ir 0.490 0.490 0.835
Ir 0.510 0.510 0.165
Ir 0.802 0.802 0.269

Crystal system: monoclinic
M_tot in Bohr magnetons per cell: 0.0
ρ in g/cm3: 11.0
ΔE_f in meV per atom: -432

***

[18]
First-principles (GGA-PBE) data for Ac2CeIr9 after structural relaxation, as listed in the Alexandria database.

Lattice parameters (Å, degrees): 9.569 9.569 9.569 32.91 32.91 32.91
Fractional coordinates of all 12 atoms:
Ac 0.139 0.139 0.139
Ac 0.861 0.861 0.861
Ce 0.000 0.000 0.000
Ir 0.083 0.576 0.576
Ir 0.332 0.332 0.332
Ir 0.424 0.424 0.917
Ir 0.424 0.917 0.424
Ir 0.500 0.500 0.500
Ir 0.576 0.083 0.576
Ir 0.576 0.576 0.083
Ir 0.668 0.668 0.668
Ir 0.917 0.424 0.424

Crystal system: trigonal
M_tot in Bohr magnetons per cell: 0.0
ρ in g/cm3: 16.8
ΔE_f in meV per atom: -463

***

[19]
First-principles (GGA-PBE) data for AcCeIr after structural relaxation, as listed in the Alexandria database.

Lattice parameters (Å, degrees): 5.634 4.357 7.938 90.00 96.45 90.00
Fractional coordinates of all 6 atoms:
Ac 0.207 0.250 0.335
Ac 0.793 0.750 0.665
Ce 0.309 0.250 0.865
Ce 0.691 0.750 0.135
Ir 0.188 0.750 0.063
Ir 0.812 0.250 0.937

Crystal system: monoclinic
Offset from the most stable computed form in meV per atom: 0
M_tot in Bohr magnetons per cell: 1.3
ρ in g/cm3: 9.6
ΔE_f in meV per atom: -509

***

[20]
First-principles (GGA-PBE) data for AcCeIr2 after structural relaxation, as listed in the Alexandria database.

Lattice parameters (Å, degrees): 5.100 5.100 5.100 60.00 60.00 60.00
Fractional coordinates of all 4 atoms:
Ac 0.000 0.000 0.000
Ce 0.500 0.500 0.500
Ir 0.250 0.250 0.250
Ir 0.750 0.750 0.750

Crystal system: cubic
Offset from the most stable computed form in meV per atom: 173
M_tot in Bohr magnetons per cell: 0.4
ρ in g/cm3: 13.3
ΔE_f in meV per atom: -503

***

[21]
First-principles (GGA-PBE) data for Ac5Ce2Ir5 after structural relaxation, as listed in the Alexandria database.

Lattice parameters (Å, degrees): 7.326 7.326 12.515 106.17 106.17 33.54
Fractional coordinates of all 12 atoms:
Ac 0.000 0.000 0.000
Ac 0.155 0.155 0.548
Ac 0.242 0.242 0.857
Ac 0.758 0.758 0.143
Ac 0.845 0.845 0.452
Ce 0.464 0.464 0.714
Ce 0.536 0.536 0.286
Ir 0.170 0.170 0.300
Ir 0.389 0.389 0.089
Ir 0.500 0.500 0.500
Ir 0.611 0.611 0.911
Ir 0.830 0.830 0.700

Crystal system: monoclinic
M_tot in Bohr magnetons per cell: 0.8
ρ in g/cm3: 11.1
ΔE_f in meV per atom: -616

***

[22]
First-principles (GGA-PBE) data for AcCe2IrN4 after structural relaxation, as listed in the Alexandria database.

Lattice parameters (Å, degrees): 6.371 6.371 11.962 90.00 90.00 148.29
Fractional coordinates of all 16 atoms:
Ac 0.104 0.896 0.750
Ac 0.896 0.104 0.250
Ce 0.369 0.631 0.551
Ce 0.369 0.631 0.949
Ce 0.631 0.369 0.051
Ce 0.631 0.369 0.449
Ir 0.157 0.843 0.250
Ir 0.843 0.157 0.750
N 0.000 0.000 0.000
N 0.000 0.000 0.500
N 0.269 0.731 0.116
N 0.269 0.731 0.384
N 0.443 0.557 0.750
N 0.557 0.443 0.250
N 0.731 0.269 0.616
N 0.731 0.269 0.884

Crystal system: orthorhombic
M_tot in Bohr magnetons per cell: 0.0
Energy in Ry/atom: -0.607
ρ in g/cm3: 9.8

***

[23]
First-principles (GGA-PBE) data for Ac2CeIr3O12 after structural relaxation, as listed in the Alexandria database.

Lattice parameters (Å, degrees): 6.806 6.806 6.806 64.10 64.10 64.10
Fractional coordinates of all 18 atoms:
Ac 0.117 0.117 0.117
Ac 0.883 0.883 0.883
Ce 0.500 0.500 0.500
Ir 0.000 0.500 0.500
Ir 0.500 0.000 0.500
Ir 0.500 0.500 0.000
O 0.085 0.639 0.639
O 0.211 0.211 0.635
O 0.211 0.635 0.211
O 0.361 0.361 0.915
O 0.361 0.915 0.361
O 0.365 0.789 0.789
O 0.635 0.211 0.211
O 0.639 0.085 0.639
O 0.639 0.639 0.085
O 0.789 0.365 0.789
O 0.789 0.789 0.365
O 0.915 0.361 0.361

Crystal system: trigonal
M_tot in Bohr magnetons per cell: 0.0
Energy in Ry/atom: -0.544
ρ in g/cm3: 9.3

***

[24]
First-principles (GGA-PBE) data for AcCeP2Ir2 after structural relaxation, as listed in the Alexandria database.

Lattice parameters (Å, degrees): 4.148 4.148 8.378 90.00 90.00 120.00
Fractional coordinates of all 6 atoms:
Ac 0.000 0.000 0.000
Ce 0.000 0.000 0.500
P 0.333 0.667 0.277
P 0.667 0.333 0.723
Ir 0.333 0.667 0.741
Ir 0.667 0.333 0.259

Crystal system: trigonal
M_tot in Bohr magnetons per cell: 0.0
ρ in g/cm3: 10.8
ΔE_f in meV per atom: -1130